# Fe2HIrPt

A relaxed Fe2HIrPt crystal (PBE-GGA, Alexandria via LeMat-Bulk).

Geometry as POSCAR:
```
Fe2HIrPt
1.0
3.7758 0.0000 0.0000
0.0000 3.7758 0.0000
0.0000 0.0000 3.7410
Fe H Ir Pt
2 1 1 1
direct
0.0000 0.5000 0.0000
0.5000 0.0000 0.0000
0.0000 0.0000 0.0000
0.0000 0.0000 0.5000
0.5000 0.5000 0.5000
```

Properties
The value obtained for the energy is -34.635 eV for the cell shown. The value obtained for the theoretical density is 15.6 g cm⁻³.